Sr3Zn3Ga8: optimized geometry, PBE-GGA.

Output
Relative energy among the computed polymorphs in eV/atom: 0.0153
N(E_F) in states/eV per atom: 0.51
Energy relative to the elements in eV/f.u.: -4.65
Uncorrected energy in eV per atom: -2.69

Lattice parameters (Å, degrees): 16.6695 4.4822 10.0634 90.00 127.13 90.00
With the nearest neighbours (Å) after each atom.
Space group C2/m (No. 12)
One atom of each set of equivalent atoms:
Sr 0.0000 0.0000 0.0000 [2 per cell]  8 Ga 3.31-3.41, 4 Zn 3.37
Sr 0.1922 0.5000 0.6916 [4 per cell]  10 Ga 3.24-3.47, 4 Zn 3.28-3.40
Zn 0.0000 0.0000 0.5000 [2 per cell]  8 Ga 3.01-3.03
Zn 0.1592 0.5000 0.2946 [4 per cell]  5 Ga 2.64-2.72
Ga 0.0013 0.5000 0.3011 [4 per cell]  1 Zn 2.67, 3 Ga 2.72-2.99
Ga 0.1484 0.0000 0.4214 [4 per cell]  3 Zn 2.64-2.72
Ga 0.1504 0.0000 0.8761 [4 per cell]  3 Ga 2.69-2.75
Ga 0.1565 0.5000 0.0291 [4 per cell]  1 Zn 2.64, 4 Ga 2.69-2.75

---

ZrPAuCl2: optimized geometry, PBE-GGA.

Output
Uncorrected formation energy in meV per atom: 451
Relative energy among the computed polymorphs in eV/atom: 0.7951
N(E_F) in states/eV per atom: 1.18
Uncorrected energy in eV per atom: -3.73

Lattice parameters (Å, degrees): 4.8219 4.8219 5.0973 90.00 90.00 90.00
With the nearest neighbours (Å) after each atom.
Space group P4/mmm (No. 123)
One atom of each set of equivalent atoms:
Zr 0.0000 0.0000 0.0000 [1 per cell]  4 P 3.41, 8 Cl 3.51
P 0.5000 0.5000 0.0000 [1 per cell]  2 Au 2.55
Au 0.5000 0.5000 0.5000 [1 per cell]  4 Cl 2.41, 2 P 2.55
Cl 0.0000 0.5000 0.5000 [2 per cell]  2 Au 2.41

---

MnBiSe2Br: optimized geometry, PBE-GGA.

Output
Uncorrected formation energy in meV per atom: 185
Relative energy among the computed polymorphs in eV/atom: 0.0000
N(E_F) in states/eV per atom: 1.90
Uncorrected energy in eV per atom: -4.15

Lattice parameters (Å, degrees): 4.7724 4.7724 4.9423 90.00 90.00 90.00
With the nearest neighbours (Å) after each atom.
Space group P4/mmm (No. 123)
One atom of each set of equivalent atoms:
Mn 0.0000 0.0000 0.0000 [1 per cell]  4 Se 2.39, 2 Br 2.47
Bi 0.5000 0.5000 0.5000 [1 per cell]  4 Br 3.37, 8 Se 3.44
Se 0.0000 0.5000 0.0000 [2 per cell]  2 Mn 2.39
Br 0.0000 0.0000 0.5000 [1 per cell]  2 Mn 2.47

---

NaLiCl2: optimized geometry, PBE-GGA.

Output
Uncorrected formation energy in meV per atom: -1778
N(E_F) in states/eV per atom: 0.00
Uncorrected energy in eV per atom: -3.51

Lattice parameters (Å, degrees): 6.0445 6.0445 11.0356 90.00 90.00 90.00
With the nearest neighbours (Å) after each atom.
Space group I-42d (No. 122)
One atom of each set of equivalent atoms:
Na 0.0000 0.0000 0.0000 [4 per cell]  4 Cl 2.70
Li 0.0000 0.0000 0.5000 [4 per cell]  4 Cl 2.40
Cl 0.2082 0.2500 0.6250 [8 per cell]  2 Li 2.40

---

HfAs3F: optimized geometry, PBE-GGA.

Output
Uncorrected formation energy in meV per atom: -84
Relative energy among the computed polymorphs in eV/atom: 0.0000
N(E_F) in states/eV per atom: 0.29
Uncorrected energy in eV per atom: -5.24

Lattice parameters (Å, degrees): 4.4926 4.4926 4.4926 90.00 90.00 90.00
With the nearest neighbours (Å) after each atom.
Space group Pm-3m (No. 221)
One atom of each set of equivalent atoms:
Hf 0.0000 0.0000 0.0000 [1 per cell]  12 As 3.18
As 0.0000 0.5000 0.5000 [3 per cell]  2 F 2.25
F 0.5000 0.5000 0.5000 [1 per cell]  6 As 2.25

---

Tb4Sm3PuSe8: optimized geometry, PBE-GGA.

Output
Uncorrected formation energy in meV per atom: -1771
N(E_F) in states/eV per atom: 0.86
Uncorrected energy in eV per atom: -6.45

Lattice parameters (Å, degrees): 8.2580 8.2580 20.2470 90.00 90.00 120.00
With the nearest neighbours (Å) after each atom.
Space group R-3m (No. 166, hexagonal axes)
One atom of each set of equivalent atoms:
Tb 0.0000 0.0000 0.0000 [3 per cell]  6 Se 2.91
Tb 0.0000 0.5000 0.0000 [9 per cell]  6 Se 2.89
Sm 0.0000 0.5000 0.5000 [9 per cell]  6 Se 2.95
Pu 0.0000 0.0000 0.5000 [3 per cell]  6 Se 2.93
Se 0.0000 0.0000 0.2524 [6 per cell]  3 Tb 2.89, 3 Sm 2.95
Se 0.0015 0.5008 0.2519 [18 per cell]  3 Tb 2.89-2.91, 1 Pu 2.93, 2 Sm 2.95

---

PrNdPb2: optimized geometry, PBE-GGA.

Output
N(E_F) in states/eV per atom: 0.95
Energy relative to the elements in eV/f.u.: -2.08
Uncorrected energy in eV per atom: -4.76

Lattice parameters (Å, degrees): 5.1300 5.1300 4.6250 90.00 90.00 90.00
With the nearest neighbours (Å) after each atom.
Space group P4/mmm (No. 123)
One atom of each set of equivalent atoms:
Pr 0.0000 0.0000 0.0000 [1 per cell]  8 Pb 3.45, 4 Nd 3.63
Nd 0.5000 0.5000 0.0000 [1 per cell]  8 Pb 3.45, 4 Pr 3.63
Pb 0.0000 0.5000 0.5000 [2 per cell]  4 Pr 3.45, 4 Nd 3.45, 4 Pb 3.63

---

InHg2Bi2Pb2: optimized geometry, PBE-GGA.

Output
N(E_F) in states/eV per atom: 0.41
Energy relative to the elements in eV/f.u.: 0.45
Uncorrected energy in eV per atom: -2.58

Lattice parameters (Å, degrees): 11.0681 4.8356 9.3242 90.00 105.27 90.00
With the nearest neighbours (Å) after each atom.
Space group C2/m (No. 12)
One atom of each set of equivalent atoms:
In 0.0000 0.0000 0.0000 [2 per cell]  4 Bi 3.37, 4 Pb 3.47
Hg 0.1642 0.5000 0.4974 [4 per cell]  2 Hg 3.07, 2 Bi 3.11-3.31, 1 Pb 3.26
Bi 0.0837 0.5000 0.7933 [4 per cell]  2 Hg 3.11-3.31, 4 Pb 3.24-3.42, 2 In 3.37
Pb 0.2153 0.5000 0.1687 [4 per cell]  4 Bi 3.24-3.42, 1 Hg 3.26, 2 In 3.47

---

TbZrZnGa: optimized geometry, PBE-GGA.

Output
N(E_F) in states/eV per atom: 0.42
Energy relative to the elements in eV/f.u.: -1.55
Uncorrected energy in eV per atom: -4.76

Lattice parameters (Å, degrees): 6.9164 6.9164 6.9164 90.00 90.00 90.00
With the nearest neighbours (Å) after each atom.
Space group F-43m (No. 216)
One atom of each set of equivalent atoms:
Tb 0.0000 0.0000 0.0000 [4 per cell]  4 Ga 2.99, 4 Zn 2.99
Zr 0.0000 0.0000 0.5000 [4 per cell]  4 Zn 2.99, 4 Ga 2.99
Zn 0.2500 0.2500 0.7500 [4 per cell]  4 Zr 2.99, 4 Tb 2.99
Ga 0.2500 0.2500 0.2500 [4 per cell]  4 Zr 2.99, 4 Tb 2.99

---

Tb2Pm8Tm3: optimized geometry, PBE-GGA.

Output
Relative energy among the computed polymorphs in eV/atom: 0.0000
N(E_F) in states/eV per atom: 1.37
Energy relative to the elements in eV/f.u.: 0.22
Uncorrected energy in eV per atom: -4.65

Lattice parameters (Å, degrees): 6.2300 6.2389 11.3806 89.81 79.38 80.38
With the nearest neighbours (Å) after each atom.
Space group P-1 (No. 2)
One atom of each set of equivalent atoms:
Tb 0.2293 0.4613 0.0764 [2 per cell]  2 Tb 3.58-3.61, 8 Pm 3.59-3.61, 2 Tm 3.60
Pm 0.0770 0.1526 0.6920 [2 per cell]  4 Tm 3.58-3.61, 7 Pm 3.59-3.61, 1 Tb 3.61
Pm 0.1547 0.3086 0.3854 [2 per cell]  4 Tm 3.58-3.61, 7 Pm 3.59-3.62, 1 Tb 3.61
Pm 0.3075 0.6154 0.7693 [2 per cell]  3 Tb 3.59-3.61, 6 Pm 3.59-3.61, 3 Tm 3.59-3.60
Pm 0.4617 0.9219 0.1530 [2 per cell]  6 Pm 3.58-3.62, 3 Tb 3.59-3.61, 3 Tm 3.59-3.60
Tm 0.0000 0.0000 0.0000 [1 per cell]  8 Pm 3.59-3.60, 4 Tb 3.60
Tm 0.3866 0.7689 0.4616 [2 per cell]  10 Pm 3.58-3.61, 2 Tm 3.59

---

ZrNb2GaN: optimized geometry, PBE-GGA.

Output
Uncorrected formation energy in meV per atom: -623
N(E_F) in states/eV per atom: 0.71
Uncorrected energy in eV per atom: -8.63

Lattice parameters (Å, degrees): 4.2052 4.2052 4.6131 90.00 90.00 90.00
With the nearest neighbours (Å) after each atom.
Space group P4/mmm (No. 123)
One atom of each set of equivalent atoms:
Zr 0.0000 0.0000 0.0000 [1 per cell]  2 N 2.31
Nb 0.0000 0.5000 0.5000 [2 per cell]  2 N 2.10
Ga 0.5000 0.5000 0.0000 [1 per cell]  4 Zr 2.97, 8 Nb 3.12
N 0.0000 0.0000 0.5000 [1 per cell]  4 Nb 2.10, 2 Zr 2.31